1.
# Ce2In2Rh7 | Alexandria via LeMat-Bulk | PBE | relaxed
# * energy of formation: -0.43 eV per atom
# * DOS at the Fermi energy: 10.96 states/eV/f.u.
# * total moment: 0.000 μB per formula unit
# * DFT total energy: -6.683 eV/atom
data_Ce2In2Rh7
_chemical_formula_sum 'Ce4 In4 Rh14'
_symmetry_space_group_name_H-M 'C 1 2/m 1'
_symmetry_Int_Tables_number 12
_cell_length_a 9.4801
_cell_length_b 9.7214
_cell_length_c 5.1371
_cell_angle_alpha 90.00
_cell_angle_beta 120.66
_cell_angle_gamma 90.00
loop_
_symmetry_equiv_pos_as_xyz
'x,y,z'
'-x,-y,-z'
'-x,y,-z'
'x,-y,z'
'x+1/2,y+1/2,z'
'-x+1/2,-y+1/2,-z'
'-x+1/2,y+1/2,-z'
'x+1/2,-y+1/2,z'
loop_
_atom_site_label
_atom_site_fract_x
_atom_site_fract_y
_atom_site_fract_z
Ce1 0.2281 0.0000 0.0713
In1 0.0000 0.2383 0.5000
Rh1 0.0000 0.5000 0.0000
Rh2 0.1633 0.2564 0.1835
Rh3 0.1738 0.0000 0.4965



2.
# Ce11In9Rh4 | Alexandria via LeMat-Bulk | PBE | relaxed
# * energy of formation: -0.56 eV per atom
# * DOS at the Fermi energy: 50.86 states/eV/f.u.
# * total moment: 6.275 μB per formula unit
# * DFT total energy: -5.532 eV/atom
data_Ce11In9Rh4
_chemical_formula_sum 'Ce22 In18 Rh8'
_symmetry_space_group_name_H-M 'C m m m'
_symmetry_Int_Tables_number 65
_symmetry_space_group_name_Hall '-C 2 2'
_cell_length_a 15.0180
_cell_length_b 21.4311
_cell_length_c 3.7505
_cell_angle_alpha 90.00
_cell_angle_beta 90.00
_cell_angle_gamma 90.00
loop_
_atom_site_label
_atom_site_fract_x
_atom_site_fract_y
_atom_site_fract_z
Ce1 0.0000 0.0000 0.0000
Ce2 0.0000 0.1486 0.0000
Ce3 0.0000 0.3716 0.0000
Ce4 0.1850 0.5000 0.0000
Ce5 0.2491 0.1796 0.0000
In1 0.0000 0.5000 0.5000
In2 0.0992 0.2590 0.5000
In3 0.1542 0.0717 0.5000
Rh1 0.1517 0.3973 0.5000



3.
# Ce4InRh | Alexandria via LeMat-Bulk | PBE | relaxed
# * energy of formation: -0.30 eV per atom
# * DOS at the Fermi energy: 15.97 states/eV/f.u.
# * total moment: 2.302 μB per formula unit
# * DFT total energy: -5.942 eV/atom
data_Ce4InRh
_chemical_formula_sum 'Ce16 In4 Rh4'
_symmetry_space_group_name_H-M 'C 1 2/c 1'
_symmetry_Int_Tables_number 15
_cell_length_a 16.0452
_cell_length_b 5.6310
_cell_length_c 7.3325
_cell_angle_alpha 90.00
_cell_angle_beta 105.94
_cell_angle_gamma 90.00
loop_
_symmetry_equiv_pos_as_xyz
'x,y,z'
'-x,-y,-z'
'-x,y,-z+1/2'
'x,-y,z+1/2'
'x+1/2,y+1/2,z'
'-x+1/2,-y+1/2,-z'
'-x+1/2,y+1/2,-z+1/2'
'x+1/2,-y+1/2,z+1/2'
loop_
_atom_site_label
_atom_site_fract_x
_atom_site_fract_y
_atom_site_fract_z
Ce1 0.0771 0.0835 0.4766
Ce2 0.1743 0.3299 0.1257
In1 0.0000 0.4231 0.7500
Rh1 0.2500 0.2500 0.5000



4.
# Ce2InRh | Alexandria via LeMat-Bulk | PBE | relaxed
# * energy of formation: -0.53 eV per atom
# * DOS at the Fermi energy: 9.26 states/eV/f.u.
# * total moment: 1.673 μB per formula unit
# * DFT total energy: -6.020 eV/atom
# * energy above the most stable polymorph in this dataset: 0.000 eV per atom
data_Ce2InRh
_chemical_formula_sum 'Ce8 In4 Rh4'
_symmetry_space_group_name_H-M 'C 1 2/m 1'
_symmetry_Int_Tables_number 12
_cell_length_a 14.1959
_cell_length_b 3.7408
_cell_length_c 7.7573
_cell_angle_alpha 90.00
_cell_angle_beta 93.53
_cell_angle_gamma 90.00
loop_
_symmetry_equiv_pos_as_xyz
'x,y,z'
'-x,-y,-z'
'-x,y,-z'
'x,-y,z'
'x+1/2,y+1/2,z'
'-x+1/2,-y+1/2,-z'
'-x+1/2,y+1/2,-z'
'x+1/2,-y+1/2,z'
loop_
_atom_site_label
_atom_site_fract_x
_atom_site_fract_y
_atom_site_fract_z
Ce1 0.0487 0.0000 0.2944
Ce2 0.2323 0.0000 0.7065
In1 0.1047 0.5000 0.9607
Rh1 0.1019 0.5000 0.5832



5.
# Ce2InRh | Alexandria via LeMat-Bulk | PBE | relaxed
# * energy of formation: -0.43 eV per atom
# * DOS at the Fermi energy: 10.07 states/eV/f.u.
# * total moment: 1.318 μB per formula unit
# * DFT total energy: -5.923 eV/atom
# * energy above the most stable polymorph in this dataset: 0.097 eV per atom
data_Ce2InRh
_chemical_formula_sum 'Ce6 In3 Rh3'
_symmetry_space_group_name_H-M 'R -3 m'
_symmetry_Int_Tables_number 166
_symmetry_space_group_name_Hall '-R 3 2"'
_cell_length_a 3.8981
_cell_length_b 3.8981
_cell_length_c 25.0832
_cell_angle_alpha 90.00
_cell_angle_beta 90.00
_cell_angle_gamma 120.00
loop_
_atom_site_label
_atom_site_fract_x
_atom_site_fract_y
_atom_site_fract_z
Ce1 0.0000 0.0000 0.2339
In1 0.0000 0.0000 0.0000
Rh1 0.0000 0.0000 0.5000



6.
# Ce2InSb3Rh4 | Alexandria via LeMat-Bulk | PBE | relaxed
# * formation energy without anion corrections: -732 meV per atom
# * DOS at the Fermi energy: 16.58 states/eV/f.u.
# * total moment: 1.831 μB per formula unit
# * DFT total energy: -6.370 eV/atom
data_Ce2InSb3Rh4
_chemical_formula_sum 'Ce2 In1 Sb3 Rh4'
_symmetry_space_group_name_H-M 'P -4 m 2'
_symmetry_Int_Tables_number 115
_cell_length_a 4.4313
_cell_length_b 4.4313
_cell_length_c 10.9169
_cell_angle_alpha 90.00
_cell_angle_beta 90.00
_cell_angle_gamma 90.00
loop_
_symmetry_equiv_pos_as_xyz
'x,y,z'
'y,-x,-z'
'-x,-y,z'
'-y,x,-z'
'-x,y,z'
'-y,-x,-z'
'x,-y,z'
'y,x,-z'
loop_
_atom_site_label
_atom_site_fract_x
_atom_site_fract_y
_atom_site_fract_z
Ce1 0.0000 0.5000 0.2479
In1 0.0000 0.0000 0.5000
Sb1 0.0000 0.5000 0.8682
Sb2 0.5000 0.5000 0.5000
Rh1 0.0000 0.0000 0.0000
Rh2 0.0000 0.5000 0.6357
Rh3 0.5000 0.5000 0.0000



7.
# CeInSi2Rh5 | Alexandria via LeMat-Bulk | PBE | relaxed
# * formation energy without anion corrections: -496 meV per atom
# * DOS at the Fermi energy: 8.72 states/eV/f.u.
# * total moment: 0.626 μB per formula unit
# * DFT total energy: -6.749 eV/atom
data_CeInSi2Rh5
_chemical_formula_sum 'Ce1 In1 Si2 Rh5'
_symmetry_space_group_name_H-M 'P 4/m m m'
_symmetry_Int_Tables_number 123
_symmetry_space_group_name_Hall '-P 4 2'
_cell_length_a 4.0510
_cell_length_b 4.0510
_cell_length_c 10.4449
_cell_angle_alpha 90.00
_cell_angle_beta 90.00
_cell_angle_gamma 90.00
loop_
_atom_site_label
_atom_site_fract_x
_atom_site_fract_y
_atom_site_fract_z
Ce1 0.0000 0.0000 0.0000
In1 0.0000 0.0000 0.5000
Si1 0.5000 0.5000 0.2218
Rh1 0.0000 0.5000 0.3276
Rh2 0.5000 0.5000 0.0000



8.
# Ce3InSi2Rh9 | Alexandria via LeMat-Bulk | PBE | relaxed
# * formation energy without anion corrections: -560 meV per atom
# * DOS at the Fermi energy: 10.73 states/eV/f.u.
# * total moment: 0.001 μB per formula unit
# * DFT total energy: -7.063 eV/atom
data_Ce3InSi2Rh9
_chemical_formula_sum 'Ce3 In1 Si2 Rh9'
_symmetry_space_group_name_H-M 'P -3 m 1'
_symmetry_Int_Tables_number 164
_symmetry_space_group_name_Hall '-P 3 2"'
_cell_length_a 5.6397
_cell_length_b 5.6397
_cell_length_c 11.0181
_cell_angle_alpha 90.00
_cell_angle_beta 90.00
_cell_angle_gamma 120.00
loop_
_atom_site_label
_atom_site_fract_x
_atom_site_fract_y
_atom_site_fract_z
Ce1 0.0000 0.0000 0.0000
Ce2 0.3333 0.6667 0.7328
In1 0.0000 0.0000 0.5000
Si1 0.3333 0.6667 0.1551
Rh1 0.0000 0.5000 0.0000
Rh2 0.1597 0.3194 0.2956



Question: Which of these has the highest DFT total energy?
Answer: Ce11In9Rh4



Question: The lowest DOS at the Fermi energy belongs to which entry?
Answer: CeInSi2Rh5



Question: What is the total moment in the seventh record?
Answer: 0.626 μB per formula unit